# 1
SrIrRu2: relaxed, PBE-GGA. Values from VASP.

Calculated values
crystal system = tetragonal
ΔH_f (0 K) = 3.26 eV/f.u.
SG = P4/mmm, No. 123
calculated total energy = -25.84 eV/cell

Structure (Quantum ESPRESSO input):
```
&SYSTEM
  ibrav = 0, nat = 4, ntyp = 3
/
ATOMIC_SPECIES
Ir 192.22 Ir.upf
Ru 101.07 Ru.upf
Sr 87.62 Sr.upf
CELL_PARAMETERS angstrom
-4.058 0.885 -0.327
-0.385 -2.856 -2.943
-0.849 -2.836 2.864
ATOMIC_POSITIONS crystal
Ir 0.500 0.000 0.500
Ru 0.000 0.000 0.000
Ru 0.000 0.500 0.500
Sr 0.500 0.500 0.000
```

# 2
SrTlInHg: relaxed, PBE-GGA. Values from VASP.

Calculated values
crystal system = cubic
ΔH_f (0 K) = -1.35 eV/f.u.
SG = F-43m, No. 216
calculated total energy = -8.43 eV/cell

Structure (Quantum ESPRESSO input):
```
&SYSTEM
  ibrav = 0, nat = 4, ntyp = 4
/
ATOMIC_SPECIES
Sr 87.62 Sr.upf
Tl 204.38 Tl.upf
Hg 200.59 Hg.upf
In 114.82 In.upf
CELL_PARAMETERS angstrom
-1.741 -0.325 5.172
1.698 -4.091 3.203
3.455 1.004 4.115
ATOMIC_POSITIONS crystal
Sr 0.500 0.500 0.500
Tl 0.750 0.750 0.750
Hg 0.250 0.250 0.250
In 0.000 0.000 0.000
```

# 3
Tm2Al6FeRu: relaxed, PBE-GGA. Values from VASP.

Calculated values
crystal system = cubic
ΔH_f (0 K) = -2.69 eV/f.u.
SG = Fm-3m, No. 225
calculated total energy = -51.83 eV/cell

Structure (Quantum ESPRESSO input):
```
&SYSTEM
  ibrav = 0, nat = 10, ntyp = 4
/
ATOMIC_SPECIES
Tm 168.93 Tm.upf
Al 26.98 Al.upf
Fe 55.84 Fe.upf
Ru 101.07 Ru.upf
CELL_PARAMETERS angstrom
-3.396 2.422 4.937
-5.042 -3.690 -1.653
-2.662 -3.973 4.350
ATOMIC_POSITIONS crystal
Tm 0.250 0.750 0.500
Tm 0.750 0.250 0.500
Al 0.243 0.757 0.000
Al 0.757 0.757 0.000
Al 0.243 0.243 0.513
Al 0.757 0.243 0.000
Al 0.243 0.243 0.000
Al 0.757 0.757 0.487
Fe 0.000 0.000 0.000
Ru 0.500 0.500 0.000
```

# 4
CaPuAgIr: relaxed, PBE-GGA. Values from VASP.

Calculated values
crystal system = cubic
ΔH_f (0 K) = -0.74 eV/f.u.
SG = F-43m, No. 216
calculated total energy = -28.79 eV/cell

Structure (Quantum ESPRESSO input):
```
&SYSTEM
  ibrav = 0, nat = 4, ntyp = 4
/
ATOMIC_SPECIES
Ca 40.08 Ca.upf
Ir 192.22 Ir.upf
Ag 107.87 Ag.upf
Pu 244.00 Pu.upf
CELL_PARAMETERS angstrom
-0.514 -3.385 -3.641
3.970 -1.386 -2.701
1.925 -4.579 0.555
ATOMIC_POSITIONS crystal
Ca 0.000 0.000 0.000
Ir 0.750 0.750 0.750
Ag 0.250 0.250 0.250
Pu 0.500 0.500 0.500
```

# 5
Pr2Sm3Y2: relaxed, PBE-GGA. Values from VASP.

Calculated values
crystal system = triclinic
ΔH_f (0 K) = 0.09 eV/f.u.
SG = P-1, No. 2
calculated total energy = -36.55 eV/cell

Structure (Quantum ESPRESSO input):
```
&SYSTEM
  ibrav = 0, nat = 7, ntyp = 3
/
ATOMIC_SPECIES
Pr 140.91 Pr.upf
Sm 150.36 Sm.upf
Y 88.91 Y.upf
CELL_PARAMETERS angstrom
-2.053 2.348 -1.885
-8.959 -3.901 4.880
0.085 5.420 3.155
ATOMIC_POSITIONS crystal
Pr 0.715 0.144 0.570
Pr 0.285 0.856 0.430
Sm 0.000 0.000 0.000
Sm 0.856 0.570 0.286
Sm 0.144 0.430 0.714
Y 0.429 0.288 0.141
Y 0.571 0.712 0.859
```

# 6
Nd8P6Se: relaxed, PBE-GGA. Values from VASP.

Calculated values
crystal system = trigonal
formation energy without anion corrections = -1252 meV per atom
SG = P-3, No. 147
calculated total energy = -92.86 eV/cell

Structure (Quantum ESPRESSO input):
```
&SYSTEM
  ibrav = 0, nat = 15, ntyp = 3
/
ATOMIC_SPECIES
Nd 144.24 Nd.upf
P 30.97 P.upf
Se 78.96 Se.upf
CELL_PARAMETERS angstrom
-0.978 3.279 2.619
-9.029 1.580 -5.348
0.158 -6.593 8.314
ATOMIC_POSITIONS crystal
Nd 0.742 0.967 0.311
Nd 0.742 0.689 0.656
Nd 0.742 0.344 0.033
Nd 0.258 0.033 0.689
Nd 0.258 0.311 0.344
Nd 0.258 0.656 0.967
Nd 0.748 0.333 0.667
Nd 0.252 0.667 0.333
P 0.756 0.658 0.135
P 0.756 0.865 0.523
P 0.756 0.477 0.342
P 0.244 0.342 0.865
P 0.244 0.135 0.477
P 0.244 0.523 0.658
Se 0.500 0.000 0.000
```

# 7
U2FeCoSi6: relaxed, PBE-GGA. Values from VASP.

Calculated values
crystal system = trigonal
formation energy without anion corrections = -307 meV per atom
SG = R-3m, No. 166
calculated total energy = -147.50 eV/cell

Structure (Quantum ESPRESSO input):
```
&SYSTEM
  ibrav = 0, nat = 20, ntyp = 4
/
ATOMIC_SPECIES
U 238.03 U.upf
Fe 55.84 Fe.upf
Co 58.93 Co.upf
Si 28.09 Si.upf
CELL_PARAMETERS angstrom
5.735 0.000 0.000
2.868 4.967 0.000
2.868 1.656 11.064
ATOMIC_POSITIONS crystal
U 0.883 0.883 0.351
U 0.117 0.117 0.649
U 0.709 0.709 0.872
U 0.291 0.291 0.128
Fe 0.000 0.000 0.000
Fe 0.500 0.500 0.500
Co 0.575 0.575 0.276
Co 0.425 0.425 0.724
Si 0.928 0.342 0.388
Si 0.342 0.928 0.388
Si 0.342 0.342 0.388
Si 0.072 0.658 0.612
Si 0.658 0.072 0.612
Si 0.658 0.658 0.612
Si 0.655 0.229 0.886
Si 0.229 0.655 0.886
Si 0.229 0.229 0.886
Si 0.345 0.771 0.114
Si 0.771 0.345 0.114
Si 0.771 0.771 0.114
```

# 8
BaTl3Ag2: relaxed, PBE-GGA. Values from VASP.

Calculated values
crystal system = monoclinic
ΔH_f (0 K) = -0.87 eV/f.u.
SG = C2/m, No. 12
calculated total energy = -46.79 eV/cell

Structure (Quantum ESPRESSO input):
```
&SYSTEM
  ibrav = 0, nat = 18, ntyp = 3
/
ATOMIC_SPECIES
Ba 137.33 Ba.upf
Tl 204.38 Tl.upf
Ag 107.87 Ag.upf
CELL_PARAMETERS angstrom
-2.120 -4.358 0.523
6.792 -1.419 -7.004
5.560 -1.477 10.238
ATOMIC_POSITIONS crystal
Ba 0.161 0.321 0.702
Ba 0.839 0.679 0.298
Ba 0.000 0.000 0.000
Tl 0.040 0.080 0.349
Tl 0.960 0.920 0.651
Tl 0.212 0.425 0.379
Tl 0.788 0.575 0.621
Tl 0.620 0.239 0.194
Tl 0.380 0.761 0.806
Tl 0.500 0.000 0.500
Tl 0.327 0.654 0.039
Tl 0.673 0.346 0.961
Ag 0.197 0.394 0.120
Ag 0.803 0.606 0.880
Ag 0.468 0.936 0.216
Ag 0.532 0.064 0.784
Ag 0.356 0.713 0.542
Ag 0.644 0.287 0.458
```

# 9
Ag2Pd12Au5: relaxed, PBE-GGA. Values from VASP.

Calculated values
crystal system = monoclinic
ΔH_f (0 K) = 1.06 eV/f.u.
SG = C2/m, No. 12
calculated total energy = -83.34 eV/cell

Structure (Quantum ESPRESSO input):
```
&SYSTEM
  ibrav = 0, nat = 19, ntyp = 3
/
ATOMIC_SPECIES
Ag 107.87 Ag.upf
Pd 106.42 Pd.upf
Au 196.97 Au.upf
CELL_PARAMETERS angstrom
-3.603 -0.449 -4.209
1.484 -6.765 -0.549
-4.934 1.227 7.763
ATOMIC_POSITIONS crystal
Ag 0.753 0.000 0.000
Ag 0.247 0.000 0.000
Pd 0.851 0.915 0.702
Pd 0.445 0.798 0.394
Pd 0.949 0.798 0.394
Pd 0.362 0.392 0.208
Pd 0.846 0.392 0.208
Pd 0.549 0.690 0.097
Pd 0.451 0.310 0.903
Pd 0.638 0.608 0.792
Pd 0.154 0.608 0.792
Pd 0.555 0.202 0.606
Pd 0.051 0.202 0.606
Pd 0.149 0.085 0.298
Au 0.753 0.506 0.506
Au 0.652 0.090 0.304
Au 0.000 0.500 0.000
Au 0.348 0.910 0.696
Au 0.247 0.494 0.494
```

# 10
Ba4BrN2: relaxed, PBE-GGA. Values from VASP.

Calculated values
crystal system = trigonal
formation energy without anion corrections = -844 meV per atom
SG = R-3m, No. 166
calculated total energy = -31.92 eV/cell

Structure (Quantum ESPRESSO input):
```
&SYSTEM
  ibrav = 0, nat = 7, ntyp = 3
/
ATOMIC_SPECIES
Ba 137.33 Ba.upf
Br 79.90 Br.upf
N 14.01 N.upf
CELL_PARAMETERS angstrom
-1.934 -3.385 1.346
-0.002 -3.426 -2.298
12.521 -6.995 6.719
ATOMIC_POSITIONS crystal
Ba 0.117 0.117 0.648
Ba 0.280 0.280 0.161
Ba 0.720 0.720 0.839
Ba 0.883 0.883 0.352
Br 0.000 0.000 0.000
N 0.419 0.419 0.743
N 0.581 0.581 0.257
```

# 11
NaAcO2: relaxed, PBE-GGA. Values from VASP.

Calculated values
crystal system = tetragonal
formation energy without anion corrections = -2186 meV per atom
SG = P4/mmm, No. 123
calculated total energy = -24.09 eV/cell

Structure (Quantum ESPRESSO input):
```
&SYSTEM
  ibrav = 0, nat = 4, ntyp = 3
/
ATOMIC_SPECIES
Na 22.99 Na.upf
Ac 227.00 Ac.upf
O 16.00 O.upf
CELL_PARAMETERS angstrom
-0.924 3.027 -0.216
-4.007 -1.294 -0.997
-1.040 -0.017 4.200
ATOMIC_POSITIONS crystal
Na 0.500 0.000 0.000
Ac 0.500 0.500 0.500
O 0.000 0.000 0.500
O 0.000 0.500 0.000
```

# 12
LaPmAu2: relaxed, PBE-GGA. Values from VASP.

Calculated values
crystal system = cubic
ΔH_f (0 K) = -3.09 eV/f.u.
SG = Fm-3m, No. 225
calculated total energy = -19.32 eV/cell

Structure (Quantum ESPRESSO input):
```
&SYSTEM
  ibrav = 0, nat = 4, ntyp = 3
/
ATOMIC_SPECIES
La 138.91 La.upf
Au 196.97 Au.upf
Pm 145.00 Pm.upf
CELL_PARAMETERS angstrom
-2.933 -2.661 -3.505
0.767 -5.186 -0.694
-3.634 -3.458 1.676
ATOMIC_POSITIONS crystal
La 0.500 0.500 0.500
Au 0.250 0.250 0.250
Au 0.750 0.750 0.750
Pm 0.000 0.000 0.000
```

What did the sixth record say?
Nd8P6Se: relaxed, PBE-GGA. Values from VASP.

Calculated values
crystal system = trigonal
formation energy without anion corrections = -1252 meV per atom
SG = P-3, No. 147
calculated total energy = -92.86 eV/cell

Structure (Quantum ESPRESSO input):
```
&SYSTEM
  ibrav = 0, nat = 15, ntyp = 3
/
ATOMIC_SPECIES
Nd 144.24 Nd.upf
P 30.97 P.upf
Se 78.96 Se.upf
CELL_PARAMETERS angstrom
-0.978 3.279 2.619
-9.029 1.580 -5.348
0.158 -6.593 8.314
ATOMIC_POSITIONS crystal
Nd 0.742 0.967 0.311
Nd 0.742 0.689 0.656
Nd 0.742 0.344 0.033
Nd 0.258 0.033 0.689
Nd 0.258 0.311 0.344
Nd 0.258 0.656 0.967
Nd 0.748 0.333 0.667
Nd 0.252 0.667 0.333
P 0.756 0.658 0.135
P 0.756 0.865 0.523
P 0.756 0.477 0.342
P 0.244 0.342 0.865
P 0.244 0.135 0.477
P 0.244 0.523 0.658
Se 0.500 0.000 0.000
```

Question: Look up the calculated total energy of the sixth one.
Answer: -92.86 eV/cell

Question: calculated total energy of number 5 (Pr2Sm3Y2)?
Answer: -36.55 eV/cell

Question: Among the records above, which one has the highest calculated total energy?
Answer: SrTlInHg